This record from the Alexandria database describes a relaxed structure of RbAs2BrN. The functional is PBE.

Computed properties:
Size of the total moment ... 0.00 μB/f.u.
Electronic total energy ... -18.7 eV per cell

a b c (Å): 4.3512 4.3512 8.9979
angles (deg): 90.00 90.00 90.00
Atoms (fractional coordinates):
1 As 0.0000 0.5000 0.0000
2 As 0.5000 0.0000 0.0000
3 Br 0.0000 0.0000 0.5000
4 Rb 0.5000 0.5000 0.5000
5 N 0.0000 0.0000 0.0000

This record from the Alexandria database describes a relaxed structure of Na4Pu3GeSe8. The functional is PBE.

Computed properties:
Size of the total moment ... 14.00 μB/f.u.
Electronic total energy ... -100.1 eV per cell

a b c (Å): 8.3795 8.4131 8.3796
angles (deg): 119.89 120.00 90.00
Atoms (fractional coordinates):
1 Na 0.5000 0.0000 0.0000
2 Na 0.5000 0.0000 0.5000
3 Na 0.0000 0.0000 0.0000
4 Na 0.0000 0.0000 0.5000
5 Pu 0.5000 0.5000 0.0000
6 Pu 0.5000 0.5000 0.5000
7 Pu 0.0000 0.5000 0.5000
8 Ge 0.0000 0.5000 0.0000
9 Se 0.2413 0.7245 0.9834
10 Se 0.2413 0.7245 0.4826
11 Se 0.2563 0.2692 0.5127
12 Se 0.7422 0.7245 0.9834
13 Se 0.2578 0.2755 0.0166
14 Se 0.7437 0.7308 0.4873
15 Se 0.7587 0.2755 0.5174
16 Se 0.7587 0.2755 0.0166

What did the first record say?
This record from the Alexandria database describes a relaxed structure of RbAs2BrN. The functional is PBE.

Computed properties:
Size of the total moment ... 0.00 μB/f.u.
Electronic total energy ... -18.7 eV per cell

a b c (Å): 4.3512 4.3512 8.9979
angles (deg): 90.00 90.00 90.00
Atoms (fractional coordinates):
1 As 0.0000 0.5000 0.0000
2 As 0.5000 0.0000 0.0000
3 Br 0.0000 0.0000 0.5000
4 Rb 0.5000 0.5000 0.5000
5 N 0.0000 0.0000 0.0000

What did the second record say?
This record from the Alexandria database describes a relaxed structure of Na4Pu3GeSe8. The functional is PBE.

Computed properties:
Size of the total moment ... 14.00 μB/f.u.
Electronic total energy ... -100.1 eV per cell

a b c (Å): 8.3795 8.4131 8.3796
angles (deg): 119.89 120.00 90.00
Atoms (fractional coordinates):
1 Na 0.5000 0.0000 0.0000
2 Na 0.5000 0.0000 0.5000
3 Na 0.0000 0.0000 0.0000
4 Na 0.0000 0.0000 0.5000
5 Pu 0.5000 0.5000 0.0000
6 Pu 0.5000 0.5000 0.5000
7 Pu 0.0000 0.5000 0.5000
8 Ge 0.0000 0.5000 0.0000
9 Se 0.2413 0.7245 0.9834
10 Se 0.2413 0.7245 0.4826
11 Se 0.2563 0.2692 0.5127
12 Se 0.7422 0.7245 0.9834
13 Se 0.2578 0.2755 0.0166
14 Se 0.7437 0.7308 0.4873
15 Se 0.7587 0.2755 0.5174
16 Se 0.7587 0.2755 0.0166